a:
InSnPb | GGA-PBE | optimized geometry

The structure in POSCAR format:
```
InSnPb
1.0
3.4856 0.0000 0.0000
0.0000 3.4856 0.0000
0.0000 0.0000 14.2593
In Sn Pb
2 2 2
direct
0.2500 0.2500 0.0821
0.7500 0.7500 0.9179
0.2500 0.2500 0.7617
0.7500 0.7500 0.2383
0.2500 0.2500 0.4095
0.7500 0.7500 0.5905
```

Space-group type ... P4/nmm (129)

***

b:
InSnPb | GGA-PBE | optimized geometry

The structure in POSCAR format:
```
InSnPb
1.0
7.3969 0.0000 0.0000
0.0000 7.3969 0.0000
0.0000 0.0000 7.3969
In Sn Pb
4 4 4
direct
0.0000 0.0000 0.0000
0.0000 0.5000 0.5000
0.5000 0.0000 0.5000
0.5000 0.5000 0.0000
0.2500 0.2500 0.2500
0.2500 0.7500 0.7500
0.7500 0.2500 0.7500
0.7500 0.7500 0.2500
0.0000 0.0000 0.5000
0.0000 0.5000 0.0000
0.5000 0.0000 0.0000
0.5000 0.5000 0.5000
```

Space-group type ... F-43m (216)

***

The least stable of them is b.

***

a:
InSn3Pb | GGA-PBE | optimized geometry

The structure in POSCAR format:
```
InSn3Pb
1.0
12.5495 0.0000 0.0000
0.0000 4.2015 0.0000
0.0000 0.0000 11.3442
In Sn Pb
4 12 4
direct
0.2458 0.2500 0.0084
0.2542 0.7500 0.5084
0.7458 0.2500 0.4916
0.7542 0.7500 0.9916
0.0713 0.2500 0.6103
0.1095 0.2500 0.3289
0.1410 0.7500 0.8037
0.3590 0.2500 0.3037
0.3905 0.7500 0.8289
0.4287 0.7500 0.1103
0.5713 0.2500 0.8897
0.6095 0.2500 0.1711
0.6410 0.7500 0.6963
0.8590 0.2500 0.1963
0.8905 0.7500 0.6711
0.9287 0.7500 0.3897
0.0558 0.7500 0.1044
0.4442 0.2500 0.6044
0.5558 0.7500 0.3956
0.9442 0.2500 0.8956
```

Space-group type ... Pnma (62)

***

b:
InSn3Pb | GGA-PBE | optimized geometry

The structure in POSCAR format:
```
InSn3Pb
1.0
3.8729 2.2360 6.0233
-3.8729 2.2360 6.0233
0.0000 -4.4721 6.0233
In Sn Pb
2 6 2
direct
0.0811 0.0811 0.0811
0.9189 0.9189 0.9189
0.0864 0.7480 0.5195
0.2520 0.4805 0.9136
0.4805 0.9136 0.2520
0.5195 0.0864 0.7480
0.7480 0.5195 0.0864
0.9136 0.2520 0.4805
0.3441 0.3441 0.3441
0.6559 0.6559 0.6559
```

Space-group type ... R-3 (148)

***

The least stable of them is b.